YBePt2 | Alexandria | PBEsol | relaxed; space group = I4/mmm; uncorrected energy = -6.846 eV per atom; formation enthalpy at 0 K = -15.194 kcal/mol of atoms; theoretical density = 12.57 Mg/m³
1.0
4.117 0.000 0.000
0.000 4.117 0.000
-2.058 -2.058 3.805
Pt Y Be
2 1 1
Direct
0.250 0.750 0.500 Pt
0.750 0.250 0.500 Pt
0.500 0.500 0.000 Y
0.000 0.000 0.000 Be